VASP calculation (PBE) on a relaxed Li2TlHAu crystal.

Structure (CIF):
```
data_Li2TlHAu
_chemical_formula_sum 'Li2 Tl1 H1 Au1'
_cell_length_a 4.0969
_cell_length_b 4.0969
_cell_length_c 4.7827
_cell_angle_alpha 90.00
_cell_angle_beta 90.00
_cell_angle_gamma 90.00
_symmetry_space_group_name_H-M 'P 4/m m m'
_symmetry_Int_Tables_number 123
_symmetry_space_group_name_Hall '-P 4 2'
loop_
_atom_site_label
_atom_site_type_symbol
_atom_site_fract_x
_atom_site_fract_y
_atom_site_fract_z
Li1 Li 0.0000 0.5000 0.0000
Tl1 Tl 0.0000 0.0000 0.5000
H1 H 0.0000 0.0000 0.0000
Au1 Au 0.5000 0.5000 0.5000
```

## Properties
The value obtained for the relative energy among the computed polymorphs is 43 kJ/mol of formula units.

---

VASP calculation (PBE) on a relaxed CsAg2C crystal.

Structure (CIF):
```
data_CsAg2C
_chemical_formula_sum 'Cs4 Ag8 C4'
_cell_length_a 6.8008
_cell_length_b 6.8008
_cell_length_c 9.6581
_cell_angle_alpha 90.00
_cell_angle_beta 90.00
_cell_angle_gamma 90.00
_symmetry_space_group_name_H-M 'I 41/a m d'
_symmetry_Int_Tables_number 141
loop_
_symmetry_equiv_pos_as_xyz
'x,y,z'
'-x,-y,-z'
'-y+1/4,x+3/4,z+1/4'
'y+1/4,-x+3/4,-z+1/4'
'-x+1/2,-y,z+1/2'
'x+1/2,y,-z+1/2'
'y+1/4,-x+1/4,z+3/4'
'-y+1/4,x+1/4,-z+3/4'
'x,-y,-z'
'-x,y,z'
'-y+1/4,-x+1/4,-z+3/4'
'y+1/4,x+1/4,z+3/4'
'-x+1/2,y,-z+1/2'
'x+1/2,-y,z+1/2'
'y+1/4,x+3/4,-z+1/4'
'-y+1/4,-x+3/4,z+1/4'
'x+1/2,y+1/2,z+1/2'
'-x+1/2,-y+1/2,-z+1/2'
'-y+3/4,x+1/4,z+3/4'
'y+3/4,-x+1/4,-z+3/4'
'-x,-y+1/2,z'
'x,y+1/2,-z'
'y+3/4,-x+3/4,z+1/4'
'-y+3/4,x+3/4,-z+1/4'
'x+1/2,-y+1/2,-z+1/2'
'-x+1/2,y+1/2,z+1/2'
'-y+3/4,-x+3/4,-z+1/4'
'y+3/4,x+3/4,z+1/4'
'-x,y+1/2,-z'
'x,-y+1/2,z'
'y+3/4,x+1/4,-z+3/4'
'-y+3/4,-x+1/4,z+3/4'
loop_
_atom_site_label
_atom_site_type_symbol
_atom_site_fract_x
_atom_site_fract_y
_atom_site_fract_z
Cs1 Cs 0.0000 0.2500 0.3750
Ag1 Ag 0.0000 0.0000 0.0000
C1 C 0.0000 0.2500 0.8750
```

---

VASP calculation (PBE) on a relaxed Y2MgSe3 crystal.

Structure (CIF):
```
data_Y2MgSe3
_chemical_formula_sum 'Y4 Mg2 Se6'
_cell_length_a 4.0092
_cell_length_b 4.0092
_cell_length_c 17.4090
_cell_angle_alpha 90.00
_cell_angle_beta 90.00
_cell_angle_gamma 90.00
_symmetry_space_group_name_H-M 'I 4/m m m'
_symmetry_Int_Tables_number 139
_symmetry_space_group_name_Hall '-I 4 2'
loop_
_atom_site_label
_atom_site_type_symbol
_atom_site_fract_x
_atom_site_fract_y
_atom_site_fract_z
Y1 Y 0.0000 0.0000 0.1759
Mg1 Mg 0.0000 0.0000 0.5000
Se1 Se 0.0000 0.0000 0.0000
Se2 Se 0.0000 0.0000 0.3440
```

## Properties
For the energy relative to the elements, uncorrected, the calculation gives -1.568 eV/atom.

---

VASP calculation (PBE) on a relaxed BaNbV2Br crystal.

Structure (CIF):
```
data_BaNbV2Br
_chemical_formula_sum 'Ba1 Nb1 V2 Br1'
_cell_length_a 4.7430
_cell_length_b 4.7430
_cell_length_c 5.0328
_cell_angle_alpha 90.00
_cell_angle_beta 90.00
_cell_angle_gamma 90.00
_symmetry_space_group_name_H-M 'P 4/m m m'
_symmetry_Int_Tables_number 123
_symmetry_space_group_name_Hall '-P 4 2'
loop_
_atom_site_label
_atom_site_type_symbol
_atom_site_fract_x
_atom_site_fract_y
_atom_site_fract_z
Ba1 Ba 0.0000 0.0000 0.0000
Nb1 Nb 0.5000 0.5000 0.0000
V1 V 0.0000 0.5000 0.5000
Br1 Br 0.5000 0.5000 0.5000
```

## Properties
For the energy relative to the elements, uncorrected, the calculation gives 1.214 eV/atom.

---

VASP calculation (PBE) on a relaxed ErLuRu2 crystal.

Structure (CIF):
```
data_ErLuRu2
_chemical_formula_sum 'Er4 Lu4 Ru8'
_cell_length_a 6.7021
_cell_length_b 6.7021
_cell_length_c 6.7021
_cell_angle_alpha 90.00
_cell_angle_beta 90.00
_cell_angle_gamma 90.00
_symmetry_space_group_name_H-M 'F m -3 m'
_symmetry_Int_Tables_number 225
_symmetry_space_group_name_Hall '-F 4 2 3'
loop_
_atom_site_label
_atom_site_type_symbol
_atom_site_fract_x
_atom_site_fract_y
_atom_site_fract_z
Er1 Er 0.0000 0.0000 0.0000
Lu1 Lu 0.0000 0.0000 0.5000
Ru1 Ru 0.2500 0.2500 0.2500
```

---

VASP calculation (PBE) on a relaxed Li4ZrNi crystal.

Structure (CIF):
```
data_Li4ZrNi
_chemical_formula_sum 'Li16 Zr4 Ni4'
_cell_length_a 7.0580
_cell_length_b 7.0580
_cell_length_c 7.0580
_cell_angle_alpha 90.00
_cell_angle_beta 90.00
_cell_angle_gamma 90.00
_symmetry_space_group_name_H-M 'F -4 3 m'
_symmetry_Int_Tables_number 216
_symmetry_space_group_name_Hall 'F -4 2 3'
loop_
_atom_site_label
_atom_site_type_symbol
_atom_site_fract_x
_atom_site_fract_y
_atom_site_fract_z
Li1 Li 0.1222 0.1222 0.1222
Zr1 Zr 0.0000 0.0000 0.5000
Ni1 Ni 0.2500 0.2500 0.7500
```

---

no.,DOS(E_F) (states/eV/cell),raw total energy (eV per atom)
1,1.4,-2.753
2,11.6,-3.202
3,4.4,-5.731
4,12.2,-5.167
5,14.9,-7.333
6,11.5,-3.427